First-principles (PBE-GGA) data for Rb2Na17Tl3 after structural relaxation, as listed in Alexandria.

The calculation puts the mass density at 2.2 g/cm³. As for the formation energy: 0.04 eV/atom. The total energy is -30.5 eV per formula unit.

The space group is R-3m (No. 166, hexagonal axes) and the conventional cell measures 12.9172, 12.9172 and 18.5098 Å, with angles of 90.00, 90.00 and 120.00 degrees. The inequivalent atoms are Rb at (0.0000, 0.0000, 0.1626), Na at (0.0000, 0.0000, 0.3971), Na at (0.0000, 0.2607, 0.5000), Na at (0.0000, 0.5000, 0.0000), Na at (0.0126, 0.5063, 0.6718) and Tl at (0.0000, 0.5000, 0.5000).



First-principles (PBE-GGA) data for TmTa2 after structural relaxation, as listed in Alexandria.

The calculation puts the mass density at 13.5 g/cm³. As for the formation energy: 0.23 eV/atom. The total energy is -27.5 eV per formula unit.

The space group is Fd-3m (No. 227, origin choice 2) and the conventional cell measures 8.061, 8.061 and 8.061 Å, with angles of 90.00, 90.00 and 90.00 degrees. The inequivalent atoms are Tm at (0.125, 0.125, 0.125) and Ta at (0.000, 0.000, 0.500).



First-principles (PBE-GGA) data for ThPaAs2N after structural relaxation, as listed in Alexandria.

The calculation puts the mass density at 8.8 g/cm³. The total energy is -40.9 eV per formula unit. Its formation energy (no corrections) is -6.4 eV per formula unit.

The space group is P4/nmm (No. 129, origin choice 2) and the conventional cell measures 4.033, 4.033 and 14.483 Å, with angles of 90.00, 90.00 and 90.00 degrees. The inequivalent atoms are Th at (0.250, 0.250, 0.126), Pa at (0.250, 0.250, 0.579), As at (0.250, 0.250, 0.324), As at (0.250, 0.250, 0.910) and N at (0.250, 0.750, 0.500).



First-principles (PBE-GGA) data for BaFe2Os after structural relaxation, as listed in Alexandria.

The calculation puts the mass density at 9.7 g/cm³. As for the formation energy: 1.06 eV/atom. The total energy is -25.8 eV per formula unit.

The space group is Imm2 (No. 44) and the conventional cell measures 2.912, 5.154 and 10.010 Å, with angles of 90.00, 90.00 and 90.00 degrees. The inequivalent atoms are Ba at (0.000, 0.000, 0.000), Fe at (0.000, 0.000, 0.505), Fe at (0.000, 0.500, 0.795) and Os at (0.000, 0.500, 0.210).